Computed, not measured: ScMn2As after structural relaxation at the GGA-PBE level of DFT.

Magnetization = 1.5 μB/cell
Raw total energy = -7.271 eV per atom

```
data_ScMn2As
_space_group_name_H-M_alt 'R 3 m'
_space_group_IT_number 160
_space_group_name_Hall 'R 3 -2"'
_cell_length_a 3.1728
_cell_length_b 3.1728
_cell_length_c 23.1261
_cell_angle_alpha 90.00
_cell_angle_beta 90.00
_cell_angle_gamma 120.00
loop_
_atom_site_label
_atom_site_type_symbol
_atom_site_fract_x
_atom_site_fract_y
_atom_site_fract_z
Sc1 Sc 0.0000 0.0000 0.0000
Mn1 Mn 0.0000 0.0000 0.2403
Mn2 Mn 0.0000 0.0000 0.5030
As1 As 0.0000 0.0000 0.7614
```



Computed, not measured: ScMn2As after structural relaxation at the GGA-PBE level of DFT.

Magnetization = 5.3 μB/cell
Raw total energy = -7.537 eV per atom

```
data_ScMn2As
_space_group_name_H-M_alt 'P 4/m m m'
_space_group_IT_number 123
_space_group_name_Hall '-P 4 2'
_cell_length_a 3.9158
_cell_length_b 3.9158
_cell_length_c 3.9675
_cell_angle_alpha 90.00
_cell_angle_beta 90.00
_cell_angle_gamma 90.00
loop_
_atom_site_label
_atom_site_type_symbol
_atom_site_fract_x
_atom_site_fract_y
_atom_site_fract_z
Sc1 Sc 0.0000 0.0000 0.0000
Mn1 Mn 0.0000 0.5000 0.5000
As1 As 0.5000 0.5000 0.0000
```



Repeat the first record exactly.
Computed, not measured: ScMn2As after structural relaxation at the GGA-PBE level of DFT.

Magnetization = 1.5 μB/cell
Raw total energy = -7.271 eV per atom

```
data_ScMn2As
_space_group_name_H-M_alt 'R 3 m'
_space_group_IT_number 160
_space_group_name_Hall 'R 3 -2"'
_cell_length_a 3.1728
_cell_length_b 3.1728
_cell_length_c 23.1261
_cell_angle_alpha 90.00
_cell_angle_beta 90.00
_cell_angle_gamma 120.00
loop_
_atom_site_label
_atom_site_type_symbol
_atom_site_fract_x
_atom_site_fract_y
_atom_site_fract_z
Sc1 Sc 0.0000 0.0000 0.0000
Mn1 Mn 0.0000 0.0000 0.2403
Mn2 Mn 0.0000 0.0000 0.5030
As1 As 0.0000 0.0000 0.7614
```



Repeat the first record exactly.
Computed, not measured: ScMn2As after structural relaxation at the GGA-PBE level of DFT.

Magnetization = 1.5 μB/cell
Raw total energy = -7.271 eV per atom

```
data_ScMn2As
_space_group_name_H-M_alt 'R 3 m'
_space_group_IT_number 160
_space_group_name_Hall 'R 3 -2"'
_cell_length_a 3.1728
_cell_length_b 3.1728
_cell_length_c 23.1261
_cell_angle_alpha 90.00
_cell_angle_beta 90.00
_cell_angle_gamma 120.00
loop_
_atom_site_label
_atom_site_type_symbol
_atom_site_fract_x
_atom_site_fract_y
_atom_site_fract_z
Sc1 Sc 0.0000 0.0000 0.0000
Mn1 Mn 0.0000 0.0000 0.2403
Mn2 Mn 0.0000 0.0000 0.5030
As1 As 0.0000 0.0000 0.7614
```



Which of these has the lowest magnetization?
number 1



What is the magnetization in the first record?
1.5 μB/cell